[1]
Computed, not measured: crystalline Th6OF24 at its relaxed geometry at the GGA-PBE level of DFT.

Cell: 8.855 8.855 8.855 Å, 115.86 115.86 97.34°
Atoms (fractional coordinates):
Th 0.826 0.384 0.210
Th 0.174 0.616 0.790
Th 0.616 0.826 0.443
Th 0.384 0.174 0.557
Th 0.779 0.779 0.000
Th 0.221 0.221 0.000
O 0.000 0.000 0.000
F 0.891 0.391 0.500
F 0.391 0.891 0.500
F 0.109 0.609 0.500
F 0.609 0.109 0.500
F 0.628 0.235 0.864
F 0.372 0.765 0.136
F 0.765 0.628 0.393
F 0.235 0.372 0.607
F 0.792 0.082 0.116
F 0.966 0.675 0.884
F 0.675 0.792 0.710
F 0.082 0.966 0.290
F 0.208 0.918 0.884
F 0.034 0.325 0.116
F 0.325 0.208 0.290
F 0.918 0.034 0.710
F 0.471 0.732 0.876
F 0.856 0.595 0.124
F 0.595 0.471 0.739
F 0.732 0.856 0.261
F 0.529 0.268 0.124
F 0.144 0.405 0.876
F 0.405 0.529 0.261
F 0.268 0.144 0.739

Output
Total energy, Ry per atom: -0.5123
Symmetry: I4/m, No. 87

[2]
Computed, not measured: crystalline LaAl3Cd at its relaxed geometry at the GGA-PBE level of DFT.

Cell: 5.078 5.078 5.078 Å, 90.00 90.00 90.00°
Atoms (fractional coordinates):
Cd 0.000 0.000 0.000
Al 0.000 0.500 0.000
Al 0.000 0.000 0.500
Al 0.500 0.000 0.000
La 0.500 0.500 0.500

Output
Energy of formation from the pure elements, eV/f.u.: 1.602
ΔE to the lowest computed polymorph, eV/atom: 0.000
Symmetry: Pm-3m, No. 221

[3]
Computed, not measured: crystalline Cs2CaBO4 at its relaxed geometry at the GGA-PBE level of DFT.

Cell: 5.223 6.492 12.240 Å, 85.08 77.68 66.28°
Atoms (fractional coordinates):
Cs 0.178 0.000 0.645
Cs 0.822 0.000 0.355
Cs 0.572 0.500 0.855
Cs 0.928 0.500 0.145
Ca 0.750 0.500 0.500
Ca 0.000 0.000 0.000
B 0.250 0.500 0.500
B 0.500 0.000 0.000
O 0.383 0.846 0.073
O 0.302 0.154 0.927
O 0.771 0.846 0.927
O 0.544 0.154 0.073
O 0.367 0.654 0.427
O 0.448 0.346 0.573
O 0.979 0.654 0.573
O 0.206 0.346 0.427

Output
Total energy, Ry per atom: -0.4101
Symmetry: Fddd, No. 70

[4]
Computed, not measured: crystalline HfNbAl2 at its relaxed geometry at the GGA-PBE level of DFT.

Cell: 2.986 2.986 9.744 Å, 81.19 81.19 60.00°
Atoms (fractional coordinates):
Nb 0.000 0.000 0.000
Hf 0.500 0.500 0.500
Al 0.253 0.253 0.240
Al 0.747 0.747 0.760

Output
Energy of formation from the pure elements, eV/f.u.: -0.488
ΔE to the lowest computed polymorph, eV/atom: 0.219
Symmetry: R-3m, No. 166

[5]
Computed, not measured: crystalline Ba2CaHg at its relaxed geometry at the GGA-PBE level of DFT.

Cell: 4.215 4.226 10.968 Å, 67.31 90.00 90.00°
Atoms (fractional coordinates):
Ca 0.500 0.250 0.250
Hg 0.500 0.750 0.750
Ba 0.000 0.051 0.949
Ba 0.000 0.449 0.551

Output
Energy of formation from the pure elements, eV/f.u.: -1.045
ΔE to the lowest computed polymorph, eV/atom: 0.000
Symmetry: Pmmm, No. 47

[6]
Computed, not measured: crystalline Sc2InIr at its relaxed geometry at the GGA-PBE level of DFT.

Cell: 6.062 6.062 4.757 Å, 66.96 66.96 30.76°
Atoms (fractional coordinates):
In 0.538 0.538 0.462
Ir 0.257 0.257 0.243
Sc 0.956 0.956 0.044
Sc 0.749 0.749 0.751

Output
Energy of formation from the pure elements, eV/f.u.: -2.265
Symmetry: Imm2, No. 44

[7]
Computed, not measured: crystalline AcNp2S6 at its relaxed geometry at the GGA-PBE level of DFT.

Cell: 5.159 7.201 8.064 Å, 74.08 71.34 69.01°
Atoms (fractional coordinates):
Ac 0.000 0.500 0.500
Np 0.179 0.739 0.903
Np 0.821 0.261 0.097
S 0.733 0.640 0.895
S 0.267 0.360 0.105
S 0.965 0.864 0.206
S 0.354 0.711 0.580
S 0.035 0.136 0.794
S 0.646 0.289 0.420

Output
Total energy, Ry per atom: -0.5504
Symmetry: C2/m, No. 12